First-principles (PBE-GGA) data for LaPmGe2 after structural relaxation, as listed in Alexandria.

Unit cell a=3.4656 b=3.4656 c=8.3536 alpha=90.00 beta=90.00 gamma=90.00
Atoms (fractional coordinates):
La (0.5000, 0.5000, 0.0000)
Ge (0.0000, 0.0000, 0.7448)
Pm (0.5000, 0.5000, 0.5000)
Ge (0.0000, 0.0000, 0.2552)

Calculated values
VASP energy = -21.6 eV per cell
N(E_F) = 0.736 states/eV/atom
Symmetry = No. 123
ρ = 7.10 g/cm³